No. 1
Material: LaCo2Sb
Method: DFT, PBE
State: relaxed

```
LaCo2Sb
1.0
-2.654 -0.077 3.887
-2.415 -3.655 -1.722
2.987 -7.240 4.747
Sb Co La
2 4 2
Direct
0.500 0.500 0.000
0.250 0.750 0.500
0.375 0.125 0.250
0.375 0.625 0.250
0.375 0.625 0.750
0.875 0.625 0.750
0.000 0.000 0.000
0.750 0.250 0.500
```

Summary:
**E**: -5.875 eV/atom
**Space group**: No. 141
**Magnetic moment**: 1.72 μB per formula unit
**ΔE_f (raw)**: -0.060 eV per atom
**DOS at the Fermi energy**: 5.7 states/eV per cell

=====

No. 2
Material: LaCo3Sb
Method: DFT, PBE
State: relaxed

```
LaCo3Sb
1.0
-0.655 2.117 -4.160
2.865 -3.134 -2.046
-3.685 -2.813 -0.851
Sb Co La
1 3 1
Direct
0.000 0.000 0.000
0.000 0.500 0.000
0.000 0.000 0.500
0.500 0.000 0.000
0.500 0.500 0.500
```

Summary:
**Distance to the lowest polymorph of the same formula**: 0 meV per atom
**E**: -5.656 eV/atom
**Space group**: No. 221
**Magnetic moment**: 3.06 μB per formula unit
**ΔE_f (raw)**: 0.418 eV per atom
**DOS at the Fermi energy**: 3.4 states/eV per cell